A plane-wave DFT calculation with PBE+U was carried out for Li7Mn2Co3O12 after structural relaxation.

Values from the calculation:
The symmetry is P1. Its size of the total moment is 0.08 μB/atom. The calculation puts the offset from the most stable computed form at 1.27 eV per formula unit.

Cell: 4.9951 6.5169 6.8124 Å, 84.68 80.24 82.93°
Positions (direct):
Li: 0.0000 0.0000 0.0000
Li: 0.0003 0.3410 0.6547
Li: 0.4899 0.8227 0.1542
Li: 0.4940 0.4988 0.4743
Li: 0.5022 0.1716 0.8165
Li: 0.7481 0.4156 0.0727
Li: 0.9924 0.6617 0.3133
Mn: 0.2396 0.9114 0.5664
Mn: 0.7420 0.0812 0.3951
Co: 0.2458 0.2576 0.2285
Co: 0.2515 0.5777 0.9184
Co: 0.7446 0.7458 0.7377
O: 0.0934 0.9683 0.2778
O: 0.0990 0.6416 0.6126
O: 0.1464 0.3051 0.9524
O: 0.3647 0.5338 0.1933
O: 0.3770 0.1863 0.5223
O: 0.3956 0.8506 0.8616
O: 0.5947 0.4824 0.7842
O: 0.6077 0.8059 0.4467
O: 0.6150 0.1197 0.1437
O: 0.8646 0.0264 0.6704
O: 0.8775 0.3447 0.3670
O: 0.9165 0.6958 0.0083